# 1
A plane-wave DFT calculation with PBE-GGA was carried out for a relaxed Dy4ThSc3 crystal.

abc: 3.363 8.547 9.778
angles: 90.34 58.99 101.45
Sites, in units of the cell vectors:
Sc: 0.740 0.261 0.261
Sc: 0.260 0.739 0.739
Sc: 0.000 0.500 0.500
Th: 0.500 0.000 0.000
Dy: 0.647 0.123 0.610
Dy: 0.353 0.877 0.390
Dy: 0.379 0.390 0.877
Dy: 0.621 0.610 0.123

Values from the calculation:
Formation energy from the elements   147 meV/atom
Crystal system   monoclinic
N(E_F)   1.83 states/eV/atom
Space-group type   C2/m, No. 12
Magnetic moment   0.0 μB/cell
V   235 Å³ per cell

# 2
A plane-wave DFT calculation with PBE-GGA was carried out for a relaxed Dy5Th2Sc5 crystal.

abc: 5.452 11.477 6.373
angles: 92.61 64.67 76.26
Sites, in units of the cell vectors:
Dy: 0.676 0.285 0.362
Dy: 0.015 0.242 0.728
Dy: 0.985 0.758 0.272
Dy: 0.324 0.715 0.638
Dy: 0.000 0.000 0.000
Th: 0.332 0.457 0.878
Th: 0.668 0.543 0.122
Sc: 0.000 0.500 0.500
Sc: 0.656 0.799 0.890
Sc: 0.331 0.963 0.375
Sc: 0.669 0.037 0.625
Sc: 0.344 0.201 0.110

Values from the calculation:
Formation energy from the elements   95 meV/atom
Crystal system   monoclinic
N(E_F)   1.80 states/eV/atom
Space-group type   C2/m, No. 12
Magnetic moment   0.0 μB/cell
V   345 Å³ per cell

# 3
A plane-wave DFT calculation with PBE-GGA was carried out for a relaxed Dy2ThSc6 crystal.

abc: 3.328 9.170 9.170
angles: 120.00 90.00 90.00
Sites, in units of the cell vectors:
Dy: 0.000 0.333 0.667
Dy: 0.000 0.667 0.333
Th: 0.500 0.000 0.000
Sc: 0.000 0.684 0.000
Sc: 0.000 0.000 0.684
Sc: 0.000 0.316 0.316
Sc: 0.500 0.646 0.646
Sc: 0.500 0.000 0.354
Sc: 0.500 0.354 0.000

Values from the calculation:
Formation energy from the elements   86 meV/atom
Crystal system   hexagonal
N(E_F)   1.88 states/eV/atom
Space-group type   P-62m, No. 189
Magnetic moment   0.0 μB/cell
V   242 Å³ per cell